A relaxed structure of CaTe2Pb, computed with PBE.

Unit cell a=8.2283 b=8.2283 c=8.2283 alpha=149.87 beta=150.47 gamma=42.69
Last column: nearest neighbours and their distance in Å.
Positions (direct):
Pb  0.7933  0.2933  0.5000  6 Te 3.30-3.37
Ca  0.5404  0.5404  0.0000  6 Te 3.22-3.26
Te  0.9629  0.9629  0.0000  4 Ca 3.22, 2 Pb 3.37
Te  0.2034  0.7034  0.5000  2 Ca 3.26, 4 Pb 3.30

Values from the calculation:
energy relative to the elements, uncorrected	-0.8796	eV per atom
symmetry	No. 44
ρ	6.1	Mg/m³
calculated volume	137.5	Å³/cell